# Fe2TcSb

A relaxed Fe2TcSb crystal (GGA-PBE, the Alexandria database).

- raw formation energy (meV per atom) = 651
- DOS at the Fermi energy (states/eV per atom) = 1.43

abc: 3.7965 3.7965 18.2430
angles: 90.00 90.00 90.00
Closest atoms and distances in Å follow each position.
Atoms (fractional coordinates):
Fe: 0.2360 0.2500 0.1250  4 Fe 2.61-2.76, 2 Tc 2.63, 2 Sb 2.67
Fe: 0.2500 0.7360 0.3750  4 Fe 2.61-2.76, 2 Tc 2.63, 2 Sb 2.67
Fe: 0.2500 0.7640 0.8750  4 Fe 2.61-2.76, 2 Tc 2.63, 2 Sb 2.67
Fe: 0.2640 0.2500 0.6250  4 Fe 2.61-2.76, 2 Tc 2.63, 2 Sb 2.67
Fe: 0.7360 0.7500 0.6250  4 Fe 2.61-2.76, 2 Tc 2.63, 2 Sb 2.67
Fe: 0.7500 0.2360 0.8750  4 Fe 2.61-2.76, 2 Tc 2.63, 2 Sb 2.67
Fe: 0.7500 0.2640 0.3750  4 Fe 2.61-2.76, 2 Tc 2.63, 2 Sb 2.67
Fe: 0.7640 0.7500 0.1250  4 Fe 2.61-2.76, 2 Tc 2.63, 2 Sb 2.67
Tc: 0.0000 0.0000 0.0000  4 Fe 2.63, 4 Sb 2.68
Tc: 0.0000 0.5000 0.2500  4 Fe 2.63, 4 Sb 2.68
Tc: 0.5000 0.0000 0.7500  4 Fe 2.63, 4 Sb 2.68
Tc: 0.5000 0.5000 0.5000  4 Fe 2.63, 4 Sb 2.68
Sb: 0.0000 0.0000 0.5000  4 Fe 2.67, 4 Tc 2.68
Sb: 0.0000 0.5000 0.7500  4 Fe 2.67, 4 Tc 2.68
Sb: 0.5000 0.0000 0.2500  4 Fe 2.67, 4 Tc 2.68
Sb: 0.5000 0.5000 0.0000  4 Fe 2.67, 4 Tc 2.68

# Er2NpScS6

A relaxed Er2NpScS6 crystal (GGA-PBE, the Alexandria database).

- raw formation energy (meV per atom) = -1793
- DOS at the Fermi energy (states/eV per atom) = 0.78

abc: 7.2642 7.2642 7.2642
angles: 55.75 55.75 55.75
Closest atoms and distances in Å follow each position.
Atoms (fractional coordinates):
Er: 0.0000 0.0000 0.0000  6 S 2.69-2.75
Er: 0.4954 0.4954 0.4954  6 S 2.70-2.76
Np: 0.1979 0.1979 0.1979  6 S 2.74-2.82
Sc: 0.6933 0.6933 0.6933  6 S 2.61-2.64
S: 0.0811 0.4147 0.7933  1 Sc 2.61, 2 Er 2.70-2.75, 1 Np 2.82
S: 0.3026 0.8905 0.6045  1 Sc 2.64, 2 Er 2.69-2.76, 1 Np 2.74
S: 0.4147 0.7933 0.0811  1 Sc 2.61, 2 Er 2.70-2.75, 1 Np 2.82
S: 0.6045 0.3026 0.8905  1 Sc 2.64, 2 Er 2.69-2.76, 1 Np 2.74
S: 0.7933 0.0811 0.4147  1 Sc 2.61, 2 Er 2.70-2.75, 1 Np 2.82
S: 0.8905 0.6045 0.3026  1 Sc 2.64, 2 Er 2.69-2.76, 1 Np 2.74

| no. | magnetization (μB/f.u.) | mass density (g/cm³) | energy (eV/atom) |
| --- | --- | --- | --- |
| 1 | 5.2 | 8.37 | -7.20 |
| 2 | 4.0 | 5.50 | -7.11 |